Entry 1:
The following is a PBE calculation of a geometry-optimized Tb5Ag2Hg12 structure, from Alexandria.

Unit cell a=8.427 b=8.427 c=7.439 alpha=92.46 beta=92.46 gamma=62.48
Positions (direct):
Tb: 0.000 0.000 0.000
Tb: 0.255 0.255 0.933
Tb: 0.321 0.321 0.455
Tb: 0.679 0.679 0.545
Tb: 0.745 0.745 0.067
Ag: 0.271 0.729 0.500
Ag: 0.729 0.271 0.500
Hg: 0.037 0.638 0.740
Hg: 0.113 0.113 0.589
Hg: 0.155 0.610 0.153
Hg: 0.362 0.963 0.260
Hg: 0.390 0.845 0.847
Hg: 0.460 0.460 0.790
Hg: 0.540 0.540 0.210
Hg: 0.610 0.155 0.153
Hg: 0.638 0.037 0.740
Hg: 0.845 0.390 0.847
Hg: 0.887 0.887 0.411
Hg: 0.963 0.362 0.260

Its space group is C2/m, No. 12. The calculation puts the density of states at the Fermi level at 10.419 states/eV/f.u.

***

Entry 2:
The following is a PBE calculation of a geometry-optimized SmHPb structure, from Alexandria.

Unit cell a=10.935 b=10.935 c=10.935 alpha=19.68 beta=19.68 gamma=19.68
Positions (direct):
Sm: 0.000 0.000 0.000
Sm: 0.168 0.168 0.168
H: 0.322 0.322 0.322
H: 0.833 0.833 0.833
Pb: 0.418 0.418 0.418
Pb: 0.583 0.583 0.583

As for the energy above the most stable polymorph in this dataset: 6.4 kJ per mole of atoms. Its space group is R3m, No. 160. The calculation puts the density of states at the Fermi level at 0.419 states/eV/f.u.

***

Entry 3:
The following is a PBE calculation of a geometry-optimized LaBiP2O8 structure, from Alexandria.

Unit cell a=5.311 b=5.311 c=7.497 alpha=90.00 beta=90.00 gamma=120.00
Positions (direct):
La: 0.000 0.000 0.000
Bi: 0.000 0.000 0.500
P: 0.333 0.667 0.797
P: 0.667 0.333 0.203
O: 0.169 0.347 0.729
O: 0.179 0.831 0.729
O: 0.333 0.667 0.001
O: 0.347 0.179 0.271
O: 0.653 0.821 0.729
O: 0.667 0.333 0.999
O: 0.821 0.169 0.271
O: 0.831 0.653 0.271

Its space group is P-3, No. 147. The calculation puts the density of states at the Fermi level at 0.000 states/eV/f.u.

***

Entry 4:
The following is a PBE calculation of a geometry-optimized PC structure, from Alexandria.

Unit cell a=4.992 b=4.992 c=4.992 alpha=90.49 beta=90.49 gamma=90.49
Positions (direct):
P: 0.238 0.238 0.238
P: 0.762 0.762 0.762
C: 0.422 0.422 0.422
C: 0.578 0.578 0.578

As for the energy above the most stable polymorph in this dataset: 69.2 kJ per mole of atoms. Its space group is R-3m, No. 166. The calculation puts the density of states at the Fermi level at 0.000 states/eV/f.u.

***

Entry 5:
The following is a PBE calculation of a geometry-optimized LaScNb2 structure, from Alexandria.

Unit cell a=6.350 b=6.350 c=6.350 alpha=102.58 beta=102.58 gamma=124.36
Positions (direct):
La: 0.000 0.000 0.000
La: 0.750 0.250 0.500
Sc: 0.250 0.750 0.500
Sc: 0.500 0.500 0.000
Nb: 0.137 0.125 0.512
Nb: 0.375 0.863 0.988
Nb: 0.613 0.625 0.488
Nb: 0.875 0.387 0.012

As for the energy above the most stable polymorph in this dataset: 30.3 kJ per mole of atoms. Its space group is I-42d, No. 122. The calculation puts the density of states at the Fermi level at 4.640 states/eV/f.u.

***

Entry 6:
The following is a PBE calculation of a geometry-optimized Ti3AsS3 structure, from Alexandria.

Unit cell a=10.039 b=10.039 c=10.039 alpha=35.40 beta=35.40 gamma=35.40
Positions (direct):
Ti: 0.058 0.433 0.684
Ti: 0.316 0.942 0.567
Ti: 0.433 0.684 0.058
Ti: 0.567 0.316 0.942
Ti: 0.684 0.058 0.433
Ti: 0.942 0.567 0.316
As: 0.333 0.333 0.333
As: 0.667 0.667 0.667
S: 0.103 0.795 0.410
S: 0.205 0.590 0.897
S: 0.410 0.103 0.795
S: 0.590 0.897 0.205
S: 0.795 0.410 0.103
S: 0.897 0.205 0.590

Its space group is R-3, No. 148. The calculation puts the density of states at the Fermi level at 1.451 states/eV/f.u.

***

Entry 7:
The following is a PBE calculation of a geometry-optimized GaAg8Hg2 structure, from Alexandria.

Unit cell a=7.093 b=7.093 c=5.164 alpha=105.89 beta=105.89 gamma=81.01
Positions (direct):
Ga: 0.000 0.000 0.000
Ag: 0.153 0.668 0.158
Ag: 0.273 0.273 0.122
Ag: 0.332 0.847 0.842
Ag: 0.436 0.436 0.706
Ag: 0.564 0.564 0.294
Ag: 0.668 0.153 0.158
Ag: 0.727 0.727 0.878
Ag: 0.847 0.332 0.842
Hg: 0.156 0.156 0.541
Hg: 0.844 0.844 0.459

As for the energy above the most stable polymorph in this dataset: 13.0 kJ per mole of atoms. Its space group is C2/m, No. 12. The calculation puts the density of states at the Fermi level at 3.550 states/eV/f.u.

***

Entry 8:
The following is a PBE calculation of a geometry-optimized InBiPdRh structure, from Alexandria.

Unit cell a=4.773 b=4.773 c=4.773 alpha=60.00 beta=60.00 gamma=60.00
Positions (direct):
In: 0.000 0.000 0.000
Bi: 0.500 0.500 0.500
Pd: 0.750 0.750 0.750
Rh: 0.250 0.250 0.250

Its space group is F-43m, No. 216. The calculation puts the density of states at the Fermi level at 1.313 states/eV/f.u.

***

Entry 9:
The following is a PBE calculation of a geometry-optimized La3RuAu structure, from Alexandria.

Unit cell a=10.104 b=10.104 c=10.104 alpha=144.84 beta=144.84 gamma=50.57
Positions (direct):
La: 0.226 0.226 0.000
La: 0.357 0.610 0.747
La: 0.390 0.137 0.747
La: 0.390 0.643 0.253
La: 0.774 0.774 0.000
La: 0.863 0.610 0.253
Ru: 0.250 0.750 0.500
Ru: 0.500 0.500 0.000
Au: 0.663 0.163 0.500
Au: 0.837 0.337 0.500

As for the energy above the most stable polymorph in this dataset: 54.6 kJ per mole of atoms. Its space group is I-4m2, No. 119. The calculation puts the density of states at the Fermi level at 2.938 states/eV/f.u.

***

Entry 10:
The following is a PBE calculation of a geometry-optimized GdHf2Cd structure, from Alexandria.

Unit cell a=11.697 b=11.697 c=11.697 alpha=15.31 beta=15.31 gamma=15.31
Positions (direct):
Gd: 0.000 0.000 0.000
Hf: 0.092 0.092 0.092
Hf: 0.908 0.908 0.908
Cd: 0.500 0.500 0.500

Its space group is R-3m, No. 166. The calculation puts the density of states at the Fermi level at 4.629 states/eV/f.u.

***

Entry 11:
The following is a PBE calculation of a geometry-optimized Be2Au3 structure, from Alexandria.

Unit cell a=5.355 b=4.165 c=12.781 alpha=90.00 beta=90.00 gamma=90.00
Positions (direct):
Be: 0.013 0.250 0.145
Be: 0.139 0.750 0.457
Be: 0.361 0.250 0.957
Be: 0.487 0.750 0.645
Be: 0.513 0.250 0.355
Be: 0.639 0.750 0.043
Be: 0.861 0.250 0.543
Be: 0.987 0.750 0.855
Au: 0.014 0.750 0.642
Au: 0.168 0.750 0.040
Au: 0.175 0.250 0.787
Au: 0.325 0.750 0.287
Au: 0.332 0.250 0.540
Au: 0.486 0.250 0.142
Au: 0.514 0.750 0.858
Au: 0.668 0.750 0.460
Au: 0.675 0.250 0.713
Au: 0.825 0.750 0.213
Au: 0.832 0.250 0.960
Au: 0.986 0.250 0.358

As for the energy above the most stable polymorph in this dataset: 0.9 kJ per mole of atoms. Its space group is Pnma, No. 62. The calculation puts the density of states at the Fermi level at 1.109 states/eV/f.u.

***

Entry 12:
The following is a PBE calculation of a geometry-optimized La2InTe structure, from Alexandria.

Unit cell a=5.610 b=5.610 c=5.610 alpha=60.00 beta=60.00 gamma=60.00
Positions (direct):
La: 0.250 0.250 0.250
La: 0.750 0.750 0.750
In: 0.000 0.000 0.000
Te: 0.500 0.500 0.500

As for the energy above the most stable polymorph in this dataset: 25.8 kJ per mole of atoms. Its space group is Fm-3m, No. 225. The calculation puts the density of states at the Fermi level at 8.328 states/eV/f.u.

***

Entry 13:
The following is a PBE calculation of a geometry-optimized NaPrSm2Se4 structure, from Alexandria.

Unit cell a=7.306 b=4.188 c=7.324 alpha=90.00 beta=109.06 gamma=90.00
Positions (direct):
Na: 0.000 0.000 0.000
Pr: 0.500 0.500 0.000
Sm: 0.000 0.500 0.500
Sm: 0.500 0.000 0.500
Se: 0.244 0.000 0.745
Se: 0.251 0.500 0.256
Se: 0.749 0.500 0.744
Se: 0.756 0.000 0.255

Its space group is P2/m, No. 10. The calculation puts the density of states at the Fermi level at 2.791 states/eV/f.u.

***

Entry 14:
The following is a PBE calculation of a geometry-optimized InCoPt2 structure, from Alexandria.

Unit cell a=2.900 b=3.773 c=5.746 alpha=90.00 beta=90.14 gamma=90.00
Positions (direct):
In: 0.000 0.000 0.000
Co: 0.000 0.000 0.500
Pt: 0.500 0.500 0.267
Pt: 0.500 0.500 0.733

Its space group is P2/m, No. 10. The calculation puts the density of states at the Fermi level at 4.245 states/eV/f.u.

***

Entry 15:
The following is a PBE calculation of a geometry-optimized CrRhW structure, from Alexandria.

Unit cell a=4.301 b=4.301 c=2.660 alpha=90.00 beta=90.00 gamma=120.00
Positions (direct):
Cr: 0.000 0.000 0.000
Rh: 0.667 0.333 0.396
W: 0.333 0.667 0.790

As for the energy above the most stable polymorph in this dataset: 13.9 kJ per mole of atoms. Its space group is P3m1, No. 156. The calculation puts the density of states at the Fermi level at 2.588 states/eV/f.u.

***

Entry 16:
The following is a PBE calculation of a geometry-optimized Dy2PuAgO8 structure, from Alexandria.

Unit cell a=5.018 b=5.019 c=7.107 alpha=85.02 beta=84.92 gamma=85.63
Positions (direct):
Dy: 0.035 0.035 0.236
Dy: 0.965 0.965 0.764
Pu: 0.500 0.500 0.500
Ag: 0.500 0.500 0.000
O: 0.202 0.799 0.000
O: 0.209 0.794 0.500
O: 0.285 0.288 0.673
O: 0.339 0.340 0.255
O: 0.661 0.660 0.745
O: 0.715 0.712 0.327
O: 0.791 0.206 0.500
O: 0.798 0.201 0.000

Its space group is P-1, No. 2. The calculation puts the density of states at the Fermi level at 2.080 states/eV/f.u.

***

Entry 17:
The following is a PBE calculation of a geometry-optimized TbPaCoNi structure, from Alexandria.

Unit cell a=4.740 b=4.740 c=4.740 alpha=60.00 beta=60.00 gamma=60.00
Positions (direct):
Tb: 0.000 0.000 0.000
Pa: 0.500 0.500 0.500
Co: 0.250 0.250 0.250
Ni: 0.750 0.750 0.750

As for the energy above the most stable polymorph in this dataset: 24.0 kJ per mole of atoms. Its space group is F-43m, No. 216. The calculation puts the density of states at the Fermi level at 4.572 states/eV/f.u.

***

Entry 18:
The following is a PBE calculation of a geometry-optimized Tl2NiH2 structure, from Alexandria.

Unit cell a=7.027 b=7.027 c=7.027 alpha=152.81 beta=152.81 gamma=38.83
Positions (direct):
Tl: 0.129 0.129 0.000
Tl: 0.871 0.871 0.000
Ni: 0.500 0.500 0.000
H: 0.250 0.750 0.500
H: 0.750 0.250 0.500

As for the energy above the most stable polymorph in this dataset: 8.3 kJ per mole of atoms. Its space group is I4/mmm, No. 139. The calculation puts the density of states at the Fermi level at 3.830 states/eV/f.u.

***

Entry 19:
The following is a PBE calculation of a geometry-optimized HoScSi structure, from Alexandria.

Unit cell a=6.128 b=8.541 c=8.541 alpha=115.62 beta=90.00 gamma=90.00
Positions (direct):
Ho: 0.000 0.000 0.000
Ho: 0.000 0.242 0.499
Ho: 0.000 0.499 0.242
Ho: 0.500 0.225 0.946
Ho: 0.500 0.558 0.558
Ho: 0.500 0.946 0.225
Sc: 0.249 0.594 0.906
Sc: 0.249 0.906 0.594
Sc: 0.500 0.244 0.590
Sc: 0.500 0.590 0.244
Sc: 0.751 0.594 0.906
Sc: 0.751 0.906 0.594
Si: 0.000 0.244 0.837
Si: 0.000 0.657 0.657
Si: 0.000 0.837 0.244
Si: 0.308 0.270 0.270
Si: 0.500 0.868 0.868
Si: 0.692 0.270 0.270

As for the energy above the most stable polymorph in this dataset: 18.5 kJ per mole of atoms. Its space group is Amm2, No. 38. The calculation puts the density of states at the Fermi level at 3.133 states/eV/f.u.

***

Entry 20:
The following is a PBE calculation of a geometry-optimized La4HoTm6 structure, from Alexandria.

Unit cell a=9.710 b=9.710 c=9.710 alpha=139.54 beta=139.54 gamma=58.56
Positions (direct):
La: 0.013 0.634 0.000
La: 0.366 0.366 0.379
La: 0.634 0.013 0.000
La: 0.987 0.987 0.621
Ho: 0.000 0.000 0.000
Tm: 0.000 0.500 0.500
Tm: 0.206 0.206 0.649
Tm: 0.443 0.794 0.000
Tm: 0.500 0.000 0.500
Tm: 0.557 0.557 0.351
Tm: 0.794 0.443 0.000

Its space group is I-42m, No. 121. The calculation puts the density of states at the Fermi level at 14.525 states/eV/f.u.

***

DFT total energy for every record listed, in sequence, given in eV per atom: -1.970, -4.392, -7.334, -6.288, -7.035, -6.911, -2.219, -4.980, -5.389, -8.393, -3.551, -4.714, -5.451, -5.671, -9.794, -7.834, -6.911, -2.826, -5.888, -4.355.
Total magnetization for every record listed, in sequence, given in μB/atom: 0.0000, 0.0000, 0.0000, 0.0000, 0.0000, 0.0000, 0.0000, 0.0000, 0.0000, 1.9290, 0.0000, 0.0000, 0.0000, 0.5210, 0.0000, 0.0827, 0.0001, 0.0000, 0.0000, 0.0000.